Record 1
Computed, not measured: crystalline Fe2CoSb at its relaxed geometry at the PBE level of DFT.

Summary:
- electronic total energy (eV per atom) = -6.575
- formation energy from raw total energies (kcal/mol of atoms) = 10.683

a = 3.0021 Å, b = 3.0021 Å, c = 22.9305 Å
α = 90.00°, β = 90.00°, γ = 120.00°
Space group R-3m (No. 166, hexagonal axes)
Asymmetric unit:
1 Fe 0.0000 0.0000 0.2412 [6 per cell]
2 Co 0.0000 0.0000 0.5000 [3 per cell]
3 Sb 0.0000 0.0000 0.0000 [3 per cell]



Record 2
Computed, not measured: crystalline RbSbNF2 at its relaxed geometry at the PBE level of DFT.

Summary:
- electronic total energy (eV per atom) = -3.089
- formation energy from raw total energies (kcal/mol of atoms) = 7.892
- excess energy over the best structure of this formula in the dataset (eV/atom) = 1.5977

a = 4.823 Å, b = 4.823 Å, c = 4.748 Å
α = 90.00°, β = 90.00°, γ = 90.00°
Space group P4/mmm (No. 123)
Asymmetric unit:
1 Rb 0.000 0.000 0.000 [1 per cell]
2 Sb 0.500 0.500 0.500 [1 per cell]
3 N 0.000 0.000 0.500 [1 per cell]
4 F 0.000 0.500 0.000 [2 per cell]



Record 3
Computed, not measured: crystalline Na3ZrPa2Se6 at its relaxed geometry at the PBE level of DFT.

Summary:
- electronic total energy (eV per atom) = -5.649
- formation energy from raw total energies (kcal/mol of atoms) = -29.556

a = 18.520 Å, b = 3.993 Å, c = 8.587 Å
α = 90.00°, β = 109.57°, γ = 90.00°
Space group C2/m (No. 12)
Asymmetric unit:
1 Na 0.000 0.000 0.000 [2 per cell]
2 Na 0.168 0.500 0.329 [4 per cell]
3 Zr 0.000 0.000 0.500 [2 per cell]
4 Pa 0.162 0.500 0.821 [4 per cell]
5 Se 0.001 0.500 0.271 [4 per cell]
6 Se 0.160 0.000 0.578 [4 per cell]
7 Se 0.170 0.000 0.074 [4 per cell]



Record 4
Computed, not measured: crystalline Fe2AgAs at its relaxed geometry at the PBE level of DFT.

Summary:
- electronic total energy (eV per atom) = -5.805
- E_form (kJ per mole of atoms) = 29

a = 3.881 Å, b = 3.881 Å, c = 3.924 Å
α = 90.00°, β = 90.00°, γ = 90.00°
Space group P4/mmm (No. 123)
Asymmetric unit:
1 Fe 0.000 0.500 0.000 [2 per cell]
2 Ag 0.000 0.000 0.500 [1 per cell]
3 As 0.500 0.500 0.500 [1 per cell]



Record 5
Computed, not measured: crystalline Ca2SnBr6 at its relaxed geometry at the PBE level of DFT.

Summary:
- electronic total energy (eV per atom) = -3.600
- formation energy from raw total energies (kcal/mol of atoms) = -36.795
- excess energy over the best structure of this formula in the dataset (eV/atom) = 0.0236

a = 6.926 Å, b = 6.926 Å, c = 13.343 Å
α = 90.00°, β = 90.00°, γ = 90.00°
Space group P4_2/mnm (No. 136)
Asymmetric unit:
1 Ca 0.000 0.000 0.167 [4 per cell]
2 Sn 0.000 0.000 0.500 [2 per cell]
3 Br 0.192 0.192 0.000 [4 per cell]
4 Br 0.199 0.199 0.329 [8 per cell]



Record 6
Computed, not measured: crystalline CaLa8Tb6 at its relaxed geometry at the PBE level of DFT.

Summary:
- electronic total energy (eV per atom) = -4.458
- E_form (kJ per mole of atoms) = 15

a = 9.9185 Å, b = 9.9185 Å, c = 18.3931 Å
α = 90.00°, β = 90.00°, γ = 120.00°
Space group R-3 (No. 148, hexagonal axes)
Asymmetric unit:
1 Ca 0.0000 0.0000 0.0000 [3 per cell]
2 La 0.0000 0.0000 0.2379 [6 per cell]
3 La 0.0461 0.6184 0.5674 [18 per cell]
4 Tb 0.0245 0.7921 0.4083 [18 per cell]



Record 7
Computed, not measured: crystalline LuFeNiSn at its relaxed geometry at the PBE level of DFT.

Summary:
- electronic total energy (eV per atom) = -5.939
- E_form (kJ per mole of atoms) = -24

a = 6.389 Å, b = 6.389 Å, c = 6.389 Å
α = 90.00°, β = 90.00°, γ = 90.00°
Space group F-43m (No. 216)
Asymmetric unit:
1 Lu 0.000 0.000 0.000 [4 per cell]
2 Fe 0.250 0.250 0.750 [4 per cell]
3 Ni 0.250 0.250 0.250 [4 per cell]
4 Sn 0.000 0.000 0.500 [4 per cell]



Record 8
Computed, not measured: crystalline CeScPdAu at its relaxed geometry at the PBE level of DFT.

Summary:
- electronic total energy (eV per atom) = -5.839
- E_form (kJ per mole of atoms) = -63

a = 7.040 Å, b = 7.040 Å, c = 7.040 Å
α = 90.00°, β = 90.00°, γ = 90.00°
Space group F-43m (No. 216)
Asymmetric unit:
1 Ce 0.000 0.000 0.000 [4 per cell]
2 Sc 0.000 0.000 0.500 [4 per cell]
3 Pd 0.250 0.250 0.250 [4 per cell]
4 Au 0.250 0.250 0.750 [4 per cell]



Record 9
Computed, not measured: crystalline Na2Ge3Pt5 at its relaxed geometry at the PBE level of DFT.

Summary:
- electronic total energy (eV per atom) = -5.092
- E_form (kJ per mole of atoms) = -41

a = 4.148 Å, b = 24.271 Å, c = 6.754 Å
α = 90.00°, β = 90.00°, γ = 90.00°
Space group Cmc2_1 (No. 36)
Asymmetric unit:
1 Na 0.000 0.022 0.000 [4 per cell]
2 Na 0.000 0.324 0.033 [4 per cell]
3 Ge 0.000 0.117 0.239 [4 per cell]
4 Ge 0.000 0.278 0.571 [4 per cell]
5 Ge 0.000 0.459 0.207 [4 per cell]
6 Pt 0.000 0.096 0.637 [4 per cell]
7 Pt 0.000 0.198 0.842 [4 per cell]
8 Pt 0.000 0.221 0.271 [4 per cell]
9 Pt 0.000 0.381 0.461 [4 per cell]
10 Pt 0.000 0.441 0.837 [4 per cell]



Record 10
Computed, not measured: crystalline CaTh2Ni6 at its relaxed geometry at the PBE level of DFT.

Summary:
- electronic total energy (eV per atom) = -5.871
- E_form (kJ per mole of atoms) = -14
- excess energy over the best structure of this formula in the dataset (eV/atom) = 0.1742

a = 3.656 Å, b = 7.037 Å, c = 12.974 Å
α = 90.00°, β = 90.00°, γ = 90.00°
Space group Immm (No. 71)
Asymmetric unit:
1 Ca 0.000 0.000 0.000 [2 per cell]
2 Th 0.000 0.500 0.147 [4 per cell]
3 Ni 0.000 0.175 0.500 [4 per cell]
4 Ni 0.000 0.306 0.326 [8 per cell]



Record 11
Computed, not measured: crystalline Rb2AuF4 at its relaxed geometry at the PBE level of DFT.

Summary:
- electronic total energy (eV per atom) = -3.804
- formation energy from raw total energies (kcal/mol of atoms) = -45.890
- excess energy over the best structure of this formula in the dataset (eV/atom) = 0.0000

a = 6.591 Å, b = 6.591 Å, c = 3.716 Å
α = 90.00°, β = 90.00°, γ = 90.00°
Space group P4/mmm (No. 123)
Asymmetric unit:
1 Rb 0.000 0.500 0.000 [2 per cell]
2 Au 0.000 0.000 0.500 [1 per cell]
3 F 0.228 0.228 0.500 [4 per cell]



Record 12
Computed, not measured: crystalline NaIn2Hg2I6 at its relaxed geometry at the PBE level of DFT.

Summary:
- electronic total energy (eV per atom) = -1.995
- formation energy from raw total energies (kcal/mol of atoms) = -10.991

a = 13.729 Å, b = 8.482 Å, c = 9.979 Å
α = 90.00°, β = 125.54°, γ = 90.00°
Space group C2/m (No. 12)
Asymmetric unit:
1 Na 0.000 0.000 0.000 [2 per cell]
2 In 0.110 0.500 0.296 [4 per cell]
3 Hg 0.233 0.000 0.801 [4 per cell]
4 I 0.063 0.246 0.827 [8 per cell]
5 I 0.222 0.500 0.635 [4 per cell]